# 1
DFT (PBE) results for a relaxed structure of MgRh2O. Values from VASP.

Values from the calculation:
Relative energy among the computed polymorphs = 469 meV per atom
E_form (uncorrected) = 0.38 eV per atom

```
&SYSTEM
  ibrav = 0, nat = 4, ntyp = 3
/
ATOMIC_SPECIES
Mg 24.30 Mg.upf
Rh 102.91 Rh.upf
O 16.00 O.upf
ATOMIC_POSITIONS crystal
Mg 0.0000 0.0000 0.0000
Rh 0.2500 0.2500 0.2500
Rh 0.7500 0.7500 0.7500
O 0.5000 0.5000 0.5000
CELL_PARAMETERS angstrom
0.0000 2.9967 2.9967
2.9967 0.0000 2.9967
2.9967 2.9967 0.0000
```

=====

# 2
DFT (PBE) results for a relaxed structure of Mg3RhO. Values from VASP.

Values from the calculation:
Relative energy among the computed polymorphs = 0 meV per atom
E_form (uncorrected) = -1.09 eV per atom

```
&SYSTEM
  ibrav = 0, nat = 5, ntyp = 3
/
ATOMIC_SPECIES
Mg 24.30 Mg.upf
Rh 102.91 Rh.upf
O 16.00 O.upf
ATOMIC_POSITIONS crystal
Mg 0.0000 0.0000 0.5000
Mg 0.0000 0.5000 0.0000
Mg 0.5000 0.0000 0.0000
Rh 0.5000 0.5000 0.5000
O 0.0000 0.0000 0.0000
CELL_PARAMETERS angstrom
4.1682 0.0000 0.0000
0.0000 4.1682 0.0000
0.0000 0.0000 4.1682
```

=====

# 3
DFT (PBE) results for a relaxed structure of MgRhO2. Values from VASP.

Values from the calculation:
E_form (uncorrected) = -0.92 eV per atom

```
&SYSTEM
  ibrav = 0, nat = 4, ntyp = 3
/
ATOMIC_SPECIES
Mg 24.30 Mg.upf
Rh 102.91 Rh.upf
O 16.00 O.upf
ATOMIC_POSITIONS crystal
Mg 0.0000 0.0000 0.0000
Rh 0.5000 0.5000 0.5000
O 0.1115 0.1115 0.1115
O 0.8885 0.8885 0.8885
CELL_PARAMETERS angstrom
1.5987 0.9230 5.8201
-1.5987 0.9230 5.8201
0.0000 -1.8461 5.8201
```